# HgMoOsO6 PBE with a Hubbard U relaxed
data_HgMoOsO6
_chemical_formula_sum 'Hg4 Mo4 Os4 O24'
_cell_length_a 7.227
_cell_length_b 7.367
_cell_length_c 10.341
_cell_angle_alpha 90.00
_cell_angle_beta 90.00
_cell_angle_gamma 90.00
_space_group_name_H-M_alt 'I m m a'
_space_group_IT_number 74
_space_group_name_Hall '-I 2b 2'
loop_
_atom_site_label
_atom_site_type_symbol
_atom_site_fract_x
_atom_site_fract_y
_atom_site_fract_z
Hg1 Hg 0.000 0.250 0.109
Mo1 Mo 0.000 0.000 0.500
Os1 Os 0.250 0.250 0.750
O1 O 0.000 0.250 0.441
O2 O 0.000 0.250 0.804
O3 O 0.191 0.067 0.623
# * DFT total energy: -6.39 eV per atom
# * density of states at the Fermi level: 20.7 states/eV per cell
# * M_tot: 0.66 μB/f.u.
# * calculated density: 7.031 g/cm³